Record 1
This record from Alexandria describes a geometry-optimized MgCrMo4 structure. The functional is PBE.

Cell and atoms, written as POSCAR:
```
MgCrMo4
1.0
0.000 3.683 3.683
3.683 0.000 3.683
3.683 3.683 0.000
Mg Cr Mo
1 1 4
direct
0.000 0.000 0.000 Mg
0.250 0.250 0.250 Cr
0.124 0.625 0.625 Mo
0.625 0.124 0.625 Mo
0.625 0.625 0.124 Mo
0.625 0.625 0.625 Mo
```

Results
The value obtained for the spin magnetization is 0.008 Bohr magnetons per cell. The total energy is -8.65 eV/atom. For the formation energy, the calculation gives 0.439 eV per atom.

---

Record 2
This record from Alexandria describes a geometry-optimized Yb2Cu2O5 structure. The functional is PBE.

Cell and atoms, written as POSCAR:
```
Yb2Cu2O5
1.0
10.788 0.000 0.000
0.000 3.529 0.000
0.000 0.000 12.610
Yb Cu O
8 8 20
direct
0.044 0.203 0.000 Yb
0.206 0.202 0.328 Yb
0.294 0.702 0.828 Yb
0.456 0.703 0.500 Yb
0.544 0.297 0.000 Yb
0.706 0.298 0.328 Yb
0.794 0.798 0.828 Yb
0.956 0.797 0.500 Yb
0.011 0.344 0.717 Cu
0.238 0.151 0.613 Cu
0.262 0.651 0.113 Cu
0.489 0.844 0.217 Cu
0.511 0.156 0.717 Cu
0.738 0.349 0.613 Cu
0.762 0.849 0.113 Cu
0.989 0.656 0.217 Cu
0.069 0.710 0.352 O
0.075 0.302 0.573 O
0.124 0.368 0.164 O
0.174 0.193 0.757 O
0.182 0.704 0.978 O
0.318 0.204 0.478 O
0.326 0.693 0.257 O
0.376 0.868 0.664 O
0.425 0.802 0.073 O
0.431 0.210 0.852 O
0.569 0.790 0.352 O
0.575 0.198 0.573 O
0.624 0.132 0.164 O
0.674 0.307 0.757 O
0.682 0.796 0.978 O
0.818 0.296 0.478 O
0.826 0.807 0.257 O
0.876 0.632 0.664 O
0.925 0.698 0.073 O
0.931 0.290 0.852 O
```

Results
The value obtained for the raw formation energy is -1.85 eV per atom. The value obtained for the spin magnetization is 0.256 Bohr magnetons per cell. The total energy is -5.85 eV/atom.

---

Record 3
This record from Alexandria describes a geometry-optimized Tl12Sn5Hg3 structure. The functional is PBE.

Cell and atoms, written as POSCAR:
```
Tl12Sn5Hg3
1.0
-8.944 8.944 8.944
8.944 -8.944 8.944
8.944 8.944 -8.944
Tl Sn Hg
48 20 12
direct
0.059 0.230 0.126 Tl
0.059 0.329 0.933 Tl
0.067 0.626 0.395 Tl
0.067 0.941 0.671 Tl
0.105 0.730 0.671 Tl
0.105 0.874 0.433 Tl
0.126 0.059 0.230 Tl
0.126 0.567 0.895 Tl
0.171 0.230 0.605 Tl
0.171 0.441 0.567 Tl
0.230 0.126 0.059 Tl
0.230 0.605 0.171 Tl
0.270 0.329 0.895 Tl
0.270 0.441 0.374 Tl
0.329 0.895 0.270 Tl
0.329 0.933 0.059 Tl
0.374 0.270 0.441 Tl
0.374 0.605 0.933 Tl
0.395 0.067 0.626 Tl
0.395 0.829 0.770 Tl
0.433 0.105 0.874 Tl
0.433 0.829 0.559 Tl
0.441 0.374 0.270 Tl
0.441 0.567 0.171 Tl
0.559 0.433 0.829 Tl
0.559 0.626 0.730 Tl
0.567 0.171 0.441 Tl
0.567 0.895 0.126 Tl
0.605 0.171 0.230 Tl
0.605 0.933 0.374 Tl
0.626 0.395 0.067 Tl
0.626 0.730 0.559 Tl
0.671 0.067 0.941 Tl
0.671 0.105 0.730 Tl
0.730 0.559 0.626 Tl
0.730 0.671 0.105 Tl
0.770 0.395 0.829 Tl
0.770 0.874 0.941 Tl
0.829 0.559 0.433 Tl
0.829 0.770 0.395 Tl
0.874 0.433 0.105 Tl
0.874 0.941 0.770 Tl
0.895 0.126 0.567 Tl
0.895 0.270 0.329 Tl
0.933 0.059 0.329 Tl
0.933 0.374 0.605 Tl
0.941 0.671 0.067 Tl
0.941 0.770 0.874 Tl
0.000 0.000 0.000 Sn
0.000 0.000 0.500 Sn
0.000 0.500 0.000 Sn
0.000 0.500 0.500 Sn
0.125 0.750 0.875 Sn
0.125 0.875 0.250 Sn
0.250 0.125 0.875 Sn
0.250 0.625 0.375 Sn
0.375 0.250 0.625 Sn
0.375 0.625 0.750 Sn
0.500 0.000 0.000 Sn
0.500 0.000 0.500 Sn
0.500 0.500 0.000 Sn
0.500 0.500 0.500 Sn
0.625 0.375 0.250 Sn
0.625 0.750 0.375 Sn
0.750 0.375 0.625 Sn
0.750 0.875 0.125 Sn
0.875 0.125 0.750 Sn
0.875 0.250 0.125 Sn
0.125 0.250 0.375 Hg
0.125 0.375 0.750 Hg
0.250 0.375 0.125 Hg
0.250 0.875 0.625 Hg
0.375 0.125 0.250 Hg
0.375 0.750 0.125 Hg
0.625 0.250 0.875 Hg
0.625 0.875 0.750 Hg
0.750 0.125 0.375 Hg
0.750 0.625 0.875 Hg
0.875 0.625 0.250 Hg
0.875 0.750 0.625 Hg
```

Results
The value obtained for the spin magnetization is 0.000 Bohr magnetons per cell. The total energy is -2.28 eV/atom. For the formation energy, the calculation gives 0.187 eV per atom.

---

Record 4
This record from Alexandria describes a geometry-optimized NaPd2PtRh structure. The functional is PBE.

Cell and atoms, written as POSCAR:
```
NaPd2PtRh
1.0
4.921 0.000 0.000
0.000 4.921 0.000
0.000 0.000 4.793
Na Pd Pt Rh
1 2 1 1
direct
0.000 0.000 0.000 Na
0.000 0.500 0.500 Pd
0.500 0.000 0.500 Pd
0.500 0.500 0.000 Pt
0.500 0.500 0.500 Rh
```

Results
The value obtained for the spin magnetization is 0.000 Bohr magnetons per cell. The total energy is -4.27 eV/atom. For the formation energy, the calculation gives 0.751 eV per atom.

---

Record 5
This record from Alexandria describes a geometry-optimized Ac2DyYS4 structure. The functional is PBE.

Cell and atoms, written as POSCAR:
```
Ac2DyYS4
1.0
6.969 0.000 0.000
0.000 4.004 0.000
-2.309 0.000 7.027
Ac Dy Y S
2 1 1 4
direct
0.000 0.000 0.000 Ac
0.500 0.500 0.000 Ac
0.000 0.500 0.500 Dy
0.500 0.000 0.500 Y
0.238 0.000 0.718 S
0.260 0.500 0.282 S
0.740 0.500 0.718 S
0.762 0.000 0.282 S
```

Results
The value obtained for the raw formation energy is -1.99 eV per atom. The value obtained for the spin magnetization is 0.000 Bohr magnetons per cell. The total energy is -6.47 eV/atom.

---

Record 6
This record from Alexandria describes a geometry-optimized CaSiNO2 structure. The functional is PBE.

Cell and atoms, written as POSCAR:
```
CaSiNO2
1.0
4.324 0.000 0.000
0.000 4.324 0.000
0.000 0.000 4.501
Ca Si N O
1 1 1 2
direct
0.000 0.000 0.000 Ca
0.500 0.500 0.500 Si
0.000 0.000 0.500 N
0.000 0.500 0.000 O
0.500 0.000 0.000 O
```

Results
The value obtained for the raw formation energy is 0.55 eV per atom. The value obtained for the spin magnetization is 3.000 Bohr magnetons per cell. The total energy is -4.58 eV/atom.

---

The highest spin magnetization belongs to which entry?
CaSiNO2

---

Which of these has the highest spin magnetization?
CaSiNO2

---

Among the records above, which one has the highest spin magnetization?
CaSiNO2

---

Look up the spin magnetization of the fifth one.
0.000 Bohr magnetons per cell